Record 1
# BaGa3Fe GGA-PBE optimized geometry
data_BaGa3Fe
_cell_length_a 4.7219
_cell_length_b 4.7219
_cell_length_c 4.7219
_cell_angle_alpha 90.00
_cell_angle_beta 90.00
_cell_angle_gamma 90.00
_symmetry_space_group_name_H-M 'P 1'
_symmetry_Int_Tables_number 1
_symmetry_space_group_name_Hall 'P 1'
loop_
_atom_site_label
_atom_site_fract_x
_atom_site_fract_y
_atom_site_fract_z
Ba1 0.0000 0.0000 0.0000
Ga1 0.0000 0.5000 0.5000
Ga2 0.5000 0.0000 0.5000
Ga3 0.5000 0.5000 0.0000
Fe1 0.5000 0.5000 0.5000
# Formation energy from the elements, kJ per mole of atoms: -34.33
# Space-group type: Pm-3m, No. 221

Record 2
# Na2SrTc2O7 GGA-PBE optimized geometry
data_Na2SrTc2O7
_cell_length_a 10.1439
_cell_length_b 10.1439
_cell_length_c 10.1439
_cell_angle_alpha 157.38
_cell_angle_beta 157.35
_cell_angle_gamma 32.22
_symmetry_space_group_name_H-M 'P 1'
_symmetry_Int_Tables_number 1
_symmetry_space_group_name_Hall 'P 1'
loop_
_atom_site_label
_atom_site_fract_x
_atom_site_fract_y
_atom_site_fract_z
Na1 0.2504 0.2504 0.0000
Na2 0.7496 0.7496 0.0000
Sr1 0.5000 0.0000 0.5000
Tc1 0.1020 0.6020 0.5000
Tc2 0.8980 0.3980 0.5000
O1 0.0000 0.5000 0.5000
O2 0.0964 0.0964 0.0000
O3 0.1982 0.6982 0.5000
O4 0.4035 0.4035 0.0000
O5 0.5965 0.5965 0.0000
O6 0.8018 0.3018 0.5000
O7 0.9036 0.9036 0.0000
# Formation energy (no corrections), kJ per mole of atoms: -167.04
# Space-group type: Immm, No. 71

Record 3
# Hg4C GGA-PBE optimized geometry
data_Hg4C
_cell_length_a 3.6258
_cell_length_b 3.6258
_cell_length_c 10.7829
_cell_angle_alpha 90.00
_cell_angle_beta 90.00
_cell_angle_gamma 120.00
_symmetry_space_group_name_H-M 'P 1'
_symmetry_Int_Tables_number 1
_symmetry_space_group_name_Hall 'P 1'
loop_
_atom_site_label
_atom_site_fract_x
_atom_site_fract_y
_atom_site_fract_z
Hg1 0.3333 0.6667 0.1139
Hg2 0.3333 0.6667 0.3819
Hg3 0.6667 0.3333 0.6181
Hg4 0.6667 0.3333 0.8861
C1 0.0000 0.0000 0.5000
# Formation energy from the elements, kJ per mole of atoms: 92.46
# Energy relative to the lowest polymorph listed for this composition, meV per atom: 70
# Space-group type: P-3m1, No. 164

Record 4
# SmCoB2Os GGA-PBE optimized geometry
data_SmCoB2Os
_cell_length_a 5.5746
_cell_length_b 5.5746
_cell_length_c 5.5746
_cell_angle_alpha 140.23
_cell_angle_beta 140.23
_cell_angle_gamma 57.51
_symmetry_space_group_name_H-M 'P 1'
_symmetry_Int_Tables_number 1
_symmetry_space_group_name_Hall 'P 1'
loop_
_atom_site_label
_atom_site_fract_x
_atom_site_fract_y
_atom_site_fract_z
Sm1 0.0000 0.0000 0.0000
Co1 0.7500 0.2500 0.5000
B1 0.3357 0.3357 0.0000
B2 0.6643 0.6643 0.0000
Os1 0.2500 0.7500 0.5000
# Formation energy from the elements, kJ per mole of atoms: -45.13
# Space-group type: I-4m2, No. 119

Record 5
# Na2TaTeCl GGA-PBE optimized geometry
data_Na2TaTeCl
_cell_length_a 6.3627
_cell_length_b 6.3627
_cell_length_c 5.1829
_cell_angle_alpha 90.00
_cell_angle_beta 90.00
_cell_angle_gamma 90.00
_symmetry_space_group_name_H-M 'P 1'
_symmetry_Int_Tables_number 1
_symmetry_space_group_name_Hall 'P 1'
loop_
_atom_site_label
_atom_site_fract_x
_atom_site_fract_y
_atom_site_fract_z
Na1 0.0000 0.5000 0.0000
Na2 0.5000 0.0000 0.0000
Ta1 0.0000 0.0000 0.0000
Te1 0.0000 0.0000 0.5000
Cl1 0.5000 0.5000 0.5000
# Formation energy (no corrections), kJ per mole of atoms: 31.41
# Space-group type: P4/mmm, No. 123

Record 6
# AlNi5Ge GGA-PBE optimized geometry
data_AlNi5Ge
_cell_length_a 6.0387
_cell_length_b 6.0387
_cell_length_c 4.9766
_cell_angle_alpha 103.43
_cell_angle_beta 103.43
_cell_angle_gamma 95.00
_symmetry_space_group_name_H-M 'P 1'
_symmetry_Int_Tables_number 1
_symmetry_space_group_name_Hall 'P 1'
loop_
_atom_site_label
_atom_site_fract_x
_atom_site_fract_y
_atom_site_fract_z
Al1 0.0765 0.9235 0.7500
Al2 0.9235 0.0765 0.2500
Ni1 0.1487 0.5182 0.6989
Ni2 0.1592 0.3341 0.0973
Ni3 0.2231 0.7769 0.2500
Ni4 0.3341 0.1592 0.5973
Ni5 0.4818 0.8513 0.8011
Ni6 0.5182 0.1487 0.1989
Ni7 0.6659 0.8408 0.4027
Ni8 0.7769 0.2231 0.7500
Ni9 0.8408 0.6659 0.9027
Ni10 0.8513 0.4818 0.3011
Ge1 0.5000 0.5000 0.0000
Ge2 0.5000 0.5000 0.5000
# Formation energy from the elements, kJ per mole of atoms: -12.94
# Energy relative to the lowest polymorph listed for this composition, meV per atom: 69
# Space-group type: C2/c, No. 15

Magnetization values (in Bohr magnetons per cell) by entry order: 0.5 0.0 0.0 0.0 2.0 0.0.
Volume values (in A^3/atom) by entry order: 21.1 12.9 24.6 14.1 42.0 12.1.
Density values (in g/cm3) by entry order: 6.35 4.75 11.02 9.95 3.09 7.69.